{
  "formula": "BeNb2HRh",
  "functional": "PBE-GGA",
  "state": "relaxed",
  "sg": "P4/mmm (123)",
  "crystal_system": "tetragonal",
  "de_polymorph_mev_per_atom": 0,
  "magmom_total_mub_per_cell": 0.0,
  "n_ef_per_ev_atom": 0.433,
  "dft_energy_ev_per_cell": -35.3,
  "cell": [[4.038, 0.000, 0.000], [0.000, 4.038, 0.000], [0.000, 0.000, 3.826]],
  "species": ["Be", "Nb", "Nb", "H", "Rh"],
  "frac_coords": [[0.000, 0.000, 0.000], [0.000, 0.500, 0.500], [0.500, 0.000, 0.500], [0.000, 0.000, 0.500], [0.500, 0.500, 0.000]]
}